! AgRuSe, PBEsol geometry, DFT meta-GGA SCAN; values from VASP
&SYSTEM
  ibrav = 0, nat = 3, ntyp = 3
/
ATOMIC_SPECIES
Ag 107.87 Ag.upf
Ru 101.07 Ru.upf
Se 78.96 Se.upf
CELL_PARAMETERS angstrom
3.4050 0.0000 0.0000
0.0000 4.0963 0.0000
0.0000 -2.0482 3.5475
ATOMIC_POSITIONS crystal
Ag 0.0001 0.0000 0.0000
Ru 0.5002 0.3333 0.6667
Se 0.4997 0.6667 0.3333
! - DOS(E_F): 1.1 states/eV per cell
! - DFT total energy: -85.28 eV for the cell shown
! - Distance to the lowest polymorph of the same formula: 0 meV/atom
! - Density: 9.661 g/cm³
! - Size of the total moment: 0.00 μB/f.u.

=====

! MgSbI2Cl, PBEsol geometry, DFT meta-GGA SCAN; values from VASP
&SYSTEM
  ibrav = 0, nat = 5, ntyp = 4
/
ATOMIC_SPECIES
I 126.90 I.upf
Sb 121.76 Sb.upf
Mg 24.30 Mg.upf
Cl 35.45 Cl.upf
CELL_PARAMETERS angstrom
-0.8080 -1.7892 -4.9624
5.4859 0.3301 -1.0122
0.6463 -5.2544 1.7893
ATOMIC_POSITIONS crystal
I 0.0000 0.0000 0.5000
I 0.0000 0.5000 0.0000
Sb 0.5000 0.0000 0.0000
Mg 0.5000 0.5000 0.5000
Cl 0.0000 0.0000 0.0000
! - DOS(E_F): 2.5 states/eV per cell
! - DFT total energy: -121.14 eV for the cell shown
! - Density: 4.338 g/cm³
! - Size of the total moment: 0.00 μB/f.u.

=====

! ZrCrAg2, PBEsol geometry, DFT meta-GGA SCAN; values from VASP
&SYSTEM
  ibrav = 0, nat = 4, ntyp = 3
/
ATOMIC_SPECIES
Ag 107.87 Ag.upf
Cr 52.00 Cr.upf
Zr 91.22 Zr.upf
CELL_PARAMETERS angstrom
3.0233 0.0000 0.0000
0.0000 3.0233 0.0000
0.0000 0.0000 7.6153
ATOMIC_POSITIONS crystal
Ag 0.0000 0.0000 0.7729
Ag 0.0000 0.0000 0.2271
Cr 0.5000 0.5000 0.0000
Zr 0.5000 0.5000 0.5000
! - DOS(E_F): 2.6 states/eV per cell
! - DFT total energy: -111.26 eV for the cell shown
! - Energy relative to the elements: 0.140 eV per atom
! - Distance to the lowest polymorph of the same formula: 72 meV/atom
! - Density: 8.563 g/cm³
! - Size of the total moment: 3.86 μB/f.u.

=====

! Sr2TaTl, PBEsol geometry, DFT meta-GGA SCAN; values from VASP
&SYSTEM
  ibrav = 0, nat = 4, ntyp = 3
/
ATOMIC_SPECIES
Sr 87.62 Sr.upf
Ta 180.95 Ta.upf
Tl 204.38 Tl.upf
CELL_PARAMETERS angstrom
-3.7372 -3.3486 1.9758
1.3759 -3.7254 3.6486
-1.6363 0.5011 5.1143
ATOMIC_POSITIONS crystal
Sr 0.0000 0.0000 0.0000
Sr 0.7500 0.7500 0.7500
Ta 0.5000 0.5000 0.5000
Tl 0.2500 0.2500 0.2500
! - DOS(E_F): 3.9 states/eV per cell
! - DFT total energy: -180.85 eV for the cell shown
! - Energy relative to the elements: 0.660 eV per atom
! - Distance to the lowest polymorph of the same formula: 118 meV/atom
! - Density: 8.393 g/cm³
! - Size of the total moment: 3.98 μB/f.u.

=====

! Sr4MgSe, PBEsol geometry, DFT meta-GGA SCAN; values from VASP
&SYSTEM
  ibrav = 0, nat = 6, ntyp = 3
/
ATOMIC_SPECIES
Mg 24.30 Mg.upf
Se 78.96 Se.upf
Sr 87.62 Sr.upf
CELL_PARAMETERS angstrom
-3.5232 4.7245 3.8419
-6.9986 0.4633 -0.5464
-4.0918 -2.1321 5.3109
ATOMIC_POSITIONS crystal
Mg 0.7500 0.7500 0.7500
Se 0.0000 0.0000 0.0000
Sr 0.3748 0.3748 0.3748
Sr 0.3748 0.3748 0.8757
Sr 0.8757 0.3748 0.3748
Sr 0.3748 0.8757 0.3748
! - DOS(E_F): 4.6 states/eV per cell
! - DFT total energy: -112.69 eV for the cell shown
! - Density: 3.060 g/cm³
! - Size of the total moment: 1.76 μB/f.u.

=====

! SrAlTl2, PBEsol geometry, DFT meta-GGA SCAN; values from VASP
&SYSTEM
  ibrav = 0, nat = 4, ntyp = 3
/
ATOMIC_SPECIES
Sr 87.62 Sr.upf
Tl 204.38 Tl.upf
Al 26.98 Al.upf
CELL_PARAMETERS angstrom
-0.5381 -3.4670 1.2015
0.3666 -1.6026 -4.4599
6.3625 0.3119 0.4109
ATOMIC_POSITIONS crystal
Sr 0.0000 0.5000 0.5000
Tl 0.6648 0.0000 0.7790
Tl 0.3352 0.0000 0.2210
Al 0.5000 0.5000 0.0000
! - DOS(E_F): 1.7 states/eV per cell
! - DFT total energy: -175.51 eV for the cell shown
! - Energy relative to the elements: -0.193 eV per atom
! - Density: 7.837 g/cm³
! - Size of the total moment: 0.00 μB/f.u.

=====

! BaMgCu2, PBEsol geometry, DFT meta-GGA SCAN; values from VASP
&SYSTEM
  ibrav = 0, nat = 4, ntyp = 3
/
ATOMIC_SPECIES
Mg 24.30 Mg.upf
Ba 137.33 Ba.upf
Cu 63.55 Cu.upf
CELL_PARAMETERS angstrom
-2.9685 2.3144 -2.0533
-3.9327 -1.6011 -0.5959
-4.0765 2.6379 4.3899
ATOMIC_POSITIONS crystal
Mg 0.4482 0.4482 0.6553
Ba 0.2635 0.2635 0.2094
Cu 0.0570 0.0570 0.8289
Cu 0.7261 0.7261 0.8216
! - DOS(E_F): 2.1 states/eV per cell
! - DFT total energy: -74.97 eV for the cell shown
! - Energy relative to the elements: -0.011 eV per atom
! - Density: 4.969 g/cm³
! - Size of the total moment: 0.00 μB/f.u.

=====

! SbAsPt2, PBEsol geometry, DFT meta-GGA SCAN; values from VASP
&SYSTEM
  ibrav = 0, nat = 4, ntyp = 3
/
ATOMIC_SPECIES
Sb 121.76 Sb.upf
As 74.92 As.upf
Pt 195.08 Pt.upf
CELL_PARAMETERS angstrom
-2.0361 -1.5220 3.0271
3.9482 -0.2170 -0.0343
0.3296 5.4748 2.9743
ATOMIC_POSITIONS crystal
Sb 0.3750 0.7500 0.4207
As 0.3750 0.7500 0.8565
Pt 0.0417 0.0834 0.9886
Pt 0.7083 0.4166 0.2341
! - DOS(E_F): 1.7 states/eV per cell
! - DFT total energy: -199.74 eV for the cell shown
! - Distance to the lowest polymorph of the same formula: 0 meV/atom
! - Density: 11.537 g/cm³
! - Size of the total moment: 0.00 μB/f.u.

=====

! Cd2WF, PBEsol geometry, DFT meta-GGA SCAN; values from VASP
&SYSTEM
  ibrav = 0, nat = 4, ntyp = 3
/
ATOMIC_SPECIES
F 19.00 F.upf
W 183.84 W.upf
Cd 112.41 Cd.upf
CELL_PARAMETERS angstrom
-3.8421 -0.2227 2.6671
-2.7128 -3.8147 -0.1162
-0.1311 -2.8926 3.6797
ATOMIC_POSITIONS crystal
F 0.0000 0.0000 0.0000
W 0.5000 0.5000 0.5000
Cd 0.2500 0.2500 0.2500
Cd 0.7500 0.7500 0.7500
! - DOS(E_F): 2.0 states/eV per cell
! - DFT total energy: -131.38 eV for the cell shown
! - Density: 9.783 g/cm³
! - Size of the total moment: 4.03 μB/f.u.

=====

! InTcW2, PBEsol geometry, DFT meta-GGA SCAN; values from VASP
&SYSTEM
  ibrav = 0, nat = 4, ntyp = 3
/
ATOMIC_SPECIES
In 114.82 In.upf
Tc 98.00 Tc.upf
W 183.84 W.upf
CELL_PARAMETERS angstrom
3.2617 0.0000 0.0000
0.0000 4.3860 0.0000
0.0000 0.0000 4.4885
ATOMIC_POSITIONS crystal
In 0.5000 0.0000 0.5000
Tc 0.0000 0.5000 0.5000
W 0.0000 0.0000 0.0000
W 0.5000 0.5000 0.0000
! - DOS(E_F): 3.0 states/eV per cell
! - DFT total energy: -206.15 eV for the cell shown
! - Energy relative to the elements: 0.418 eV per atom
! - Distance to the lowest polymorph of the same formula: 44 meV/atom
! - Density: 15.012 g/cm³
! - Size of the total moment: 0.00 μB/f.u.

=====

! Rb3CoPt, PBEsol geometry, DFT meta-GGA SCAN; values from VASP
&SYSTEM
  ibrav = 0, nat = 5, ntyp = 3
/
ATOMIC_SPECIES
Co 58.93 Co.upf
Rb 85.47 Rb.upf
Pt 195.08 Pt.upf
CELL_PARAMETERS angstrom
6.2251 0.0000 0.0000
0.0000 6.2251 0.0000
0.0000 0.0000 6.2251
ATOMIC_POSITIONS crystal
Co 0.5000 0.5000 0.5000
Rb 0.0000 0.5000 0.0000
Rb 0.0000 0.0000 0.5000
Rb 0.5000 0.0000 0.0000
Pt 0.0000 0.0000 0.0000
! - DOS(E_F): 8.3 states/eV per cell
! - DFT total energy: -146.13 eV for the cell shown
! - Energy relative to the elements: 0.717 eV per atom
! - Density: 3.513 g/cm³
! - Size of the total moment: 2.15 μB/f.u.

=====

! Pr4CdPd, PBEsol geometry, DFT meta-GGA SCAN; values from VASP
&SYSTEM
  ibrav = 0, nat = 24, ntyp = 3
/
ATOMIC_SPECIES
Pr 140.91 Pr.upf
Cd 112.41 Cd.upf
Pd 106.42 Pd.upf
CELL_PARAMETERS angstrom
-3.5497 8.1050 4.4253
-8.9096 -0.2094 4.2952
-0.7472 0.3274 9.8595
ATOMIC_POSITIONS crystal
Pr 0.8983 0.8983 0.3052
Pr 0.3052 0.8983 0.8983
Pr 0.8983 0.8983 0.8983
Pr 0.8983 0.3052 0.8983
Pr 0.0557 0.4443 0.4443
Pr 0.4443 0.0557 0.0557
Pr 0.0557 0.0557 0.4443
Pr 0.4443 0.4443 0.0557
Pr 0.4443 0.0557 0.4443
Pr 0.0557 0.4443 0.0557
Pr 0.6862 0.3138 0.3138
Pr 0.3138 0.6862 0.6862
Pr 0.6862 0.6862 0.3138
Pr 0.3138 0.3138 0.6862
Pr 0.3138 0.6862 0.3138
Pr 0.6862 0.3138 0.6862
Cd 0.6707 0.6707 0.9879
Cd 0.9879 0.6707 0.6707
Cd 0.6707 0.6707 0.6707
Cd 0.6707 0.9879 0.6707
Pd 0.1062 0.1062 0.6814
Pd 0.6814 0.1062 0.1062
Pd 0.1062 0.1062 0.1062
Pd 0.1062 0.6814 0.1062
! - DOS(E_F): 16.5 states/eV per cell
! - DFT total energy: -957.26 eV for the cell shown
! - Energy relative to the elements: -0.471 eV per atom
! - Density: 7.591 g/cm³
! - Size of the total moment: 0.00 μB/f.u.

=====

! Cs2TlSbCl6, PBEsol geometry, DFT meta-GGA SCAN; values from VASP
&SYSTEM
  ibrav = 0, nat = 10, ntyp = 4
/
ATOMIC_SPECIES
Cs 132.91 Cs.upf
Tl 204.38 Tl.upf
Sb 121.76 Sb.upf
Cl 35.45 Cl.upf
CELL_PARAMETERS angstrom
7.8889 0.0000 0.0000
3.9444 6.8320 0.0000
3.9444 2.2773 6.4412
ATOMIC_POSITIONS crystal
Cs 0.7500 0.7500 0.7500
Cs 0.2500 0.2500 0.2500
Tl 0.5000 0.5000 0.5000
Sb 0.0000 0.0000 0.0000
Cl 0.7645 0.2355 0.2355
Cl 0.7645 0.7645 0.2355
Cl 0.2355 0.7645 0.7645
Cl 0.7645 0.2355 0.7645
Cl 0.2355 0.7645 0.2355
Cl 0.2355 0.2355 0.7645
! - DOS(E_F): 0.0 states/eV per cell
! - DFT total energy: -248.24 eV for the cell shown
! - Density: 3.849 g/cm³
! - Size of the total moment: 0.00 μB/f.u.

=====

! LiY2CuH, PBEsol geometry, DFT meta-GGA SCAN; values from VASP
&SYSTEM
  ibrav = 0, nat = 5, ntyp = 4
/
ATOMIC_SPECIES
Y 88.91 Y.upf
H 1.01 H.upf
Cu 63.55 Cu.upf
Li 6.94 Li.upf
CELL_PARAMETERS angstrom
-1.0352 1.5852 -3.1006
-3.6017 -3.1914 -0.4291
-2.9110 2.9516 2.4810
ATOMIC_POSITIONS crystal
Y 0.0000 0.0000 0.5000
Y 0.0000 0.5000 0.0000
H 0.0000 0.0000 0.0000
Cu 0.5000 0.5000 0.5000
Li 0.5000 0.0000 0.0000
! - DOS(E_F): 2.2 states/eV per cell
! - DFT total energy: -78.08 eV for the cell shown
! - Density: 4.882 g/cm³
! - Size of the total moment: 0.00 μB/f.u.

=====

! TlAgH2Pb, PBEsol geometry, DFT meta-GGA SCAN; values from VASP
&SYSTEM
  ibrav = 0, nat = 5, ntyp = 4
/
ATOMIC_SPECIES
Pb 207.20 Pb.upf
H 1.01 H.upf
Tl 204.38 Tl.upf
Ag 107.87 Ag.upf
CELL_PARAMETERS angstrom
-0.2182 0.0260 4.0934
2.5531 -3.2033 0.1564
4.3479 3.4756 0.2096
ATOMIC_POSITIONS crystal
Pb 0.5000 0.5000 0.5000
H 0.0000 0.5000 0.0000
H 0.5000 0.0000 0.0000
Tl 0.0000 0.0000 0.5000
Ag 0.0000 0.0000 0.0000
! - DOS(E_F): 1.4 states/eV per cell
! - DFT total energy: -183.45 eV for the cell shown
! - Density: 9.251 g/cm³
! - Size of the total moment: 0.00 μB/f.u.

=====

! AlAgBr2, PBEsol geometry, DFT meta-GGA SCAN; values from VASP
&SYSTEM
  ibrav = 0, nat = 4, ntyp = 3
/
ATOMIC_SPECIES
Br 79.90 Br.upf
Ag 107.87 Ag.upf
Al 26.98 Al.upf
CELL_PARAMETERS angstrom
5.0375 0.0000 0.0000
2.5187 4.3626 0.0000
2.5187 1.4542 4.1131
ATOMIC_POSITIONS crystal
Br 0.2500 0.2500 0.2500
Br 0.7500 0.7500 0.7500
Ag 0.0000 0.0000 0.0000
Al 0.5000 0.5000 0.5000
! - DFT total energy: -78.30 eV for the cell shown
! - Density: 5.413 g/cm³
! - Size of the total moment: 0.00 μB/f.u.

=====

! CrRe2BAs, PBEsol geometry, DFT meta-GGA SCAN; values from VASP
&SYSTEM
  ibrav = 0, nat = 5, ntyp = 4
/
ATOMIC_SPECIES
Re 186.21 Re.upf
As 74.92 As.upf
B 10.81 B.upf
Cr 52.00 Cr.upf
CELL_PARAMETERS angstrom
4.2515 0.0000 0.0000
0.0000 4.4398 0.0000
0.0000 0.0000 4.4398
ATOMIC_POSITIONS crystal
Re 0.0000 0.0000 0.5000
Re 0.0000 0.5000 0.0000
As 0.5000 0.0000 0.0000
B 0.5000 0.5000 0.5000
Cr 0.0000 0.0000 0.0000
! - DOS(E_F): 5.2 states/eV per cell
! - DFT total energy: -176.72 eV for the cell shown
! - Energy relative to the elements: 2.297 eV per atom
! - Density: 10.108 g/cm³
! - Size of the total moment: 0.00 μB/f.u.

=====

! MnInNiOs2, PBEsol geometry, DFT meta-GGA SCAN; values from VASP
&SYSTEM
  ibrav = 0, nat = 5, ntyp = 4
/
ATOMIC_SPECIES
Ni 58.69 Ni.upf
Mn 54.94 Mn.upf
Os 190.23 Os.upf
In 114.82 In.upf
CELL_PARAMETERS angstrom
4.3389 0.0000 0.0000
0.0000 4.3389 0.0000
0.0000 0.0000 4.6799
ATOMIC_POSITIONS crystal
Ni 0.5000 0.5000 0.5000
Mn 0.0000 0.0000 0.0000
Os 0.0000 0.5000 0.0000
Os 0.5000 0.0000 0.0000
In 0.0000 0.0000 0.5000
! - DOS(E_F): 4.5 states/eV per cell
! - DFT total energy: -203.43 eV for the cell shown
! - Energy relative to the elements: 1.628 eV per atom
! - Density: 11.477 g/cm³
! - Size of the total moment: 1.51 μB/f.u.

=====

! LiTiBe3, PBEsol geometry, DFT meta-GGA SCAN; values from VASP
&SYSTEM
  ibrav = 0, nat = 5, ntyp = 3
/
ATOMIC_SPECIES
Be 9.01 Be.upf
Li 6.94 Li.upf
Ti 47.87 Ti.upf
CELL_PARAMETERS angstrom
-2.3489 -1.0332 2.7294
2.8055 0.1658 2.4772
-0.8040 3.5971 0.6698
ATOMIC_POSITIONS crystal
Be 0.0000 0.5000 0.0000
Be 0.0000 0.0000 0.5000
Be 0.5000 0.0000 0.0000
Li 0.0000 0.0000 0.0000
Ti 0.5000 0.5000 0.5000
! - DOS(E_F): 1.2 states/eV per cell
! - DFT total energy: -29.03 eV for the cell shown
! - Energy relative to the elements: 0.491 eV per atom
! - Density: 2.585 g/cm³
! - Size of the total moment: 0.00 μB/f.u.

=====

! BeP2Se, PBEsol geometry, DFT meta-GGA SCAN; values from VASP
&SYSTEM
  ibrav = 0, nat = 4, ntyp = 3
/
ATOMIC_SPECIES
P 30.97 P.upf
Se 78.96 Se.upf
Be 9.01 Be.upf
CELL_PARAMETERS angstrom
2.7627 0.0000 0.0000
0.0000 2.7627 0.0000
0.0000 0.0000 7.9671
ATOMIC_POSITIONS crystal
P 0.0000 0.0000 0.9669
P 0.5000 0.5000 0.1693
Se 0.0000 0.0000 0.5599
Be 0.5000 0.5000 0.8038
! - DOS(E_F): 1.1 states/eV per cell
! - DFT total energy: -42.72 eV for the cell shown
! - Distance to the lowest polymorph of the same formula: 358 meV/atom
! - Density: 4.094 g/cm³
! - Size of the total moment: 0.00 μB/f.u.